Material: CdCo2O
Method: DFT, GGA+U
State: optimized geometry

Lattice parameters (Å, degrees): 5.1600 5.1600 6.4983 66.61 66.61 90.00
Last column: nearest neighbours and their distance in Å.
Positions (direct):
O 0.2500 0.7500 0.5000  4 Co 1.86
Co 0.3751 0.6250 0.2500  2 O 1.86
Cd 0.0000 0.0000 0.0000  8 Co 3.18
Cd 0.7500 0.2500 0.5000  8 Co 3.18
O 0.5000 0.5000 0.0000  4 Co 1.86
Co 0.3750 0.6251 0.7500  2 O 1.86
Co 0.3749 0.1250 0.2500  2 O 1.86
Co 0.8750 0.6249 0.7500  2 O 1.86

Output
**Distance to the lowest polymorph of the same formula**: 0.0000 eV per atom
**Size of the total moment**: 4.00 μB/f.u.
**Crystal system**: tetragonal